The following is a PBE calculation of crystalline Ac2PrNdBi4 at its relaxed geometry, from Alexandria.

Cell lengths 4.7544, 8.2389, 8.2284 Å; angles 70.57, 90.00, 90.00 degrees
Last column: nearest neighbours and their distance in Å.
Positions (direct):
Ac (0.0000, 0.0000, 0.0000)  6 Bi 3.42
Ac (0.5000, 0.0000, 0.5000)  6 Bi 3.43
Pr (0.0000, 0.5000, 0.5000)  6 Bi 3.31
Nd (0.5000, 0.5000, 0.0000)  6 Bi 3.30
Bi (0.0000, 0.7362, 0.7554)  2 Nd 3.30, 1 Pr 3.31, 3 Ac 3.42-3.43
Bi (0.0000, 0.2638, 0.2446)  2 Nd 3.30, 1 Pr 3.31, 3 Ac 3.42-3.43
Bi (0.5000, 0.7369, 0.2534)  1 Nd 3.30, 2 Pr 3.31, 3 Ac 3.42-3.43
Bi (0.5000, 0.2631, 0.7466)  1 Nd 3.30, 2 Pr 3.31, 3 Ac 3.42-3.43

Calculated values
**Size of the total moment**: 0.00 μB/cell
**Energy of formation**: -971 meV per atom

***

The following is a PBE calculation of crystalline Ho2ErCd6 at its relaxed geometry, from Alexandria.

Cell lengths 3.4111, 8.5909, 8.5909 Å; angles 120.00, 90.00, 90.00 degrees
Last column: nearest neighbours and their distance in Å.
Positions (direct):
Ho (0.0000, 0.3333, 0.6667)  12 Cd 3.33, 2 Ho 3.41
Ho (0.0000, 0.6667, 0.3333)  12 Cd 3.33, 2 Ho 3.41
Er (0.0000, 0.0000, 0.0000)  12 Cd 3.33, 2 Er 3.41
Cd (0.5000, 0.3330, 0.3330)  3 Cd 2.86-2.87
Cd (0.5000, 0.6670, 0.6670)  3 Cd 2.86-2.87
Cd (0.5000, 0.0000, 0.6670)  3 Cd 2.86-2.87
Cd (0.5000, 0.6670, 0.0000)  3 Cd 2.86-2.87
Cd (0.5000, 0.3330, 0.0000)  3 Cd 2.86-2.87
Cd (0.5000, 0.0000, 0.3330)  3 Cd 2.86-2.87

Calculated values
**Size of the total moment**: 0.00 μB/cell
**Energy of formation**: -305 meV per atom

***

The following is a PBE calculation of crystalline CsAl3C at its relaxed geometry, from Alexandria.

Cell lengths 4.7657, 4.7657, 4.7657 Å; angles 90.00, 90.00, 90.00 degrees
Last column: nearest neighbours and their distance in Å.
Positions (direct):
Cs (0.5000, 0.5000, 0.5000)  12 Al 3.37
C (0.0000, 0.0000, 0.0000)  6 Al 2.38
Al (0.0000, 0.5000, 0.0000)  2 C 2.38
Al (0.0000, 0.0000, 0.5000)  2 C 2.38
Al (0.5000, 0.0000, 0.0000)  2 C 2.38

Calculated values
**Size of the total moment**: 0.00 μB/cell
**Energy above the most stable polymorph in this dataset**: 0.000 eV per atom
**Energy of formation**: 1158 meV per atom

***

The following is a PBE calculation of crystalline LaSi2Ru at its relaxed geometry, from Alexandria.

Cell lengths 4.1156, 4.5532, 8.4047 Å; angles 102.45, 90.00, 90.00 degrees
Last column: nearest neighbours and their distance in Å.
Positions (direct):
Ru (0.7500, 0.3798, 0.6116)  5 Si 2.40-2.47
Ru (0.2500, 0.6202, 0.3884)  5 Si 2.40-2.47
Si (0.2500, 0.1696, 0.4923)  4 Ru 2.40-2.47, 2 Si 2.59
Si (0.7500, 0.8304, 0.5077)  4 Ru 2.40-2.47, 2 Si 2.59
Si (0.7500, 0.4628, 0.9092)  1 Ru 2.45, 2 Si 2.54
Si (0.2500, 0.5372, 0.0908)  1 Ru 2.45, 2 Si 2.54
La (0.2500, 0.9111, 0.7990)  9 Si 3.06-3.34, 3 Ru 3.31-3.42
La (0.7500, 0.0889, 0.2010)  9 Si 3.06-3.34, 3 Ru 3.31-3.42

Calculated values
**E_form (uncorrected)**: -3.38 eV per formula unit
**Size of the total moment**: 0.00 μB/cell

***

Number 1: theoretical density 8.60 Mg/m³. Number 2: theoretical density 8.92 Mg/m³. Number 3: theoretical density 3.47 Mg/m³. Number 4: theoretical density 6.40 Mg/m³.